*i*
DFT (GGA-PBE) results for a relaxed HfBeB crystal.

CIF file:
```
data_HfBeB
_cell_length_a 4.079
_cell_length_b 4.079
_cell_length_c 4.079
_cell_angle_alpha 130.27
_cell_angle_beta 130.27
_cell_angle_gamma 72.98
_space_group_name_H-M_alt 'P 1'
_space_group_IT_number 1
loop_
_space_group_symop_operation_xyz
'x,y,z'
loop_
_atom_site_label
_atom_site_type_symbol
_atom_site_fract_x
_atom_site_fract_y
_atom_site_fract_z
Hf1 Hf 0.000 0.000 0.000
Be1 Be 0.633 0.633 0.000
B1 B 0.364 0.364 0.000
```

* M_tot: 0.0 μB per formula unit
* N(E_F): 0.6001 states/eV/atom



*ii*
DFT (GGA-PBE) results for a relaxed HfBeB crystal.

CIF file:
```
data_HfBeB
_cell_length_a 4.827
_cell_length_b 4.827
_cell_length_c 4.827
_cell_angle_alpha 139.18
_cell_angle_beta 105.17
_cell_angle_gamma 88.94
_space_group_name_H-M_alt 'P 1'
_space_group_IT_number 1
loop_
_space_group_symop_operation_xyz
'x,y,z'
loop_
_atom_site_label
_atom_site_type_symbol
_atom_site_fract_x
_atom_site_fract_y
_atom_site_fract_z
Hf1 Hf 0.245 0.245 0.000
Hf2 Hf 0.755 0.755 0.000
Be1 Be 0.326 0.000 0.326
Be2 Be 0.674 0.000 0.674
B1 B 0.156 0.500 0.656
B2 B 0.844 0.500 0.344
```

* M_tot: 0.0 μB per formula unit
* N(E_F): 0.3260 states/eV/atom



*iii*
DFT (GGA-PBE) results for a relaxed HfBeB crystal.

CIF file:
```
data_HfBeB
_cell_length_a 3.378
_cell_length_b 3.378
_cell_length_c 6.862
_cell_angle_alpha 90.00
_cell_angle_beta 90.00
_cell_angle_gamma 120.00
_space_group_name_H-M_alt 'P 1'
_space_group_IT_number 1
loop_
_space_group_symop_operation_xyz
'x,y,z'
loop_
_atom_site_label
_atom_site_type_symbol
_atom_site_fract_x
_atom_site_fract_y
_atom_site_fract_z
Hf1 Hf 0.000 0.000 0.000
Hf2 Hf 0.000 0.000 0.500
Be1 Be 0.333 0.667 0.250
Be2 Be 0.667 0.333 0.750
B1 B 0.333 0.667 0.750
B2 B 0.667 0.333 0.250
```

* M_tot: 0.0 μB per formula unit
* N(E_F): 0.4813 states/eV/atom



Relative energy of each structure, in kJ/mol of atoms: *i* 93.7; *ii* 2.6; *iii* 0.0.



*i*
DFT (GGA-PBE) results for a relaxed Hf2BeB crystal.

CIF file:
```
data_Hf2BeB
_cell_length_a 6.300
_cell_length_b 6.300
_cell_length_c 6.300
_cell_angle_alpha 32.05
_cell_angle_beta 32.05
_cell_angle_gamma 32.05
_space_group_name_H-M_alt 'P 1'
_space_group_IT_number 1
loop_
_space_group_symop_operation_xyz
'x,y,z'
loop_
_atom_site_label
_atom_site_type_symbol
_atom_site_fract_x
_atom_site_fract_y
_atom_site_fract_z
Hf1 Hf 0.237 0.237 0.237
Hf2 Hf 0.763 0.763 0.763
Be1 Be 0.000 0.000 0.000
B1 B 0.500 0.500 0.500
```

* M_tot: 0.0 μB per formula unit
* N(E_F): 0.4785 states/eV/atom



*ii*
DFT (GGA-PBE) results for a relaxed Hf2BeB crystal.

CIF file:
```
data_Hf2BeB
_cell_length_a 4.312
_cell_length_b 4.312
_cell_length_c 4.312
_cell_angle_alpha 60.00
_cell_angle_beta 60.00
_cell_angle_gamma 60.00
_space_group_name_H-M_alt 'P 1'
_space_group_IT_number 1
loop_
_space_group_symop_operation_xyz
'x,y,z'
loop_
_atom_site_label
_atom_site_type_symbol
_atom_site_fract_x
_atom_site_fract_y
_atom_site_fract_z
Hf1 Hf 0.250 0.250 0.250
Hf2 Hf 0.750 0.750 0.750
Be1 Be 0.000 0.000 0.000
B1 B 0.500 0.500 0.500
```

* M_tot: 0.0 μB per formula unit
* N(E_F): 0.9543 states/eV/atom



Relative energy of each structure, in kJ/mol of atoms: *i* 0.0; *ii* 20.5.